[1]
A geometry-optimized Cu2SnGe2 structure, computed with PBE.

Computed properties:
The value obtained for the total DFT energy (no corrections) is -40.66 eV per cell. Its space group is P4/mbm, No. 127. Its magnetic moment is 0.000 μB per atom.

Unit cell a=7.8431 b=7.8431 c=2.8892 alpha=90.00 beta=90.00 gamma=90.00
Fractional positions:
Ge 0.3373 0.8373 0.0000
Ge 0.8373 0.6627 0.0000
Ge 0.6627 0.1627 0.0000
Ge 0.1627 0.3373 0.0000
Sn 0.0000 0.0000 0.0000
Sn 0.5000 0.5000 0.0000
Cu 0.1229 0.6229 0.5000
Cu 0.6229 0.8771 0.5000
Cu 0.8771 0.3771 0.5000
Cu 0.3771 0.1229 0.5000

***

[2]
A geometry-optimized Cu2SnGe2 structure, computed with PBE.

Computed properties:
The value obtained for the total DFT energy (no corrections) is -20.76 eV per cell. Its space group is I4/mmm, No. 139. Its magnetic moment is 0.000 μB per atom.

Unit cell a=3.9416 b=3.9416 c=6.3937 alpha=72.05 beta=72.05 gamma=90.00
Fractional positions:
Ge 0.7500 0.2500 0.5000
Ge 0.2500 0.7500 0.5000
Sn 0.0000 0.0000 0.0000
Cu 0.3941 0.3941 0.2118
Cu 0.6059 0.6059 0.7882

***

[3]
A geometry-optimized Cu2SnGe structure, computed with PBE.

Computed properties:
The value obtained for the total DFT energy (no corrections) is -15.94 eV per cell. Its space group is R-3m, No. 166. Its magnetic moment is 0.000 μB per atom.

Unit cell a=3.5730 b=3.5730 c=6.8823 alpha=74.95 beta=74.95 gamma=60.00
Fractional positions:
Ge 0.0000 0.0000 0.0000
Sn 0.5000 0.5000 0.5000
Cu 0.2609 0.2609 0.2174
Cu 0.7391 0.7391 0.7826

***

[4]
A geometry-optimized CuSnGe structure, computed with PBE.

Computed properties:
The value obtained for the total DFT energy (no corrections) is -24.12 eV per cell. Its space group is C2/m, No. 12. Its magnetic moment is 0.000 μB per atom.

Unit cell a=2.9644 b=6.6640 c=6.6314 alpha=106.62 beta=102.92 gamma=90.00
Fractional positions:
Ge 0.0425 0.8369 0.0850
Ge 0.9575 0.1631 0.9150
Cu 0.9010 0.4913 0.8019
Cu 0.0990 0.5087 0.1981
Sn 0.7751 0.7523 0.5503
Sn 0.2249 0.2477 0.4497

***

ΔE_f readings, ordered: 219.8; 134.5; 219.2; 219.4 meV/atom